A plane-wave DFT calculation with PBE was carried out for crystalline SmMgZr at its relaxed geometry.

Calculated values
Its crystal system is monoclinic. For the energy above the most stable polymorph in this dataset, the calculation gives 0.006 eV/atom. The space group is No. 11. For the spin magnetization, the calculation gives 0.0 μB/f.u. The calculation puts the density of states at the Fermi level at 0.935 states/eV/atom. The volume is 158.8 Å³ per cell.

Cell lengths 4.958, 3.296, 9.854 Å; angles 99.53, 90.00, 90.01 degrees
Fractional positions:
Zr1 0.847 0.778 0.981
Zr2 0.347 0.210 0.842
Mg1 0.347 0.042 0.498
Mg2 0.847 0.949 0.325
Sm1 0.347 0.373 0.170
Sm2 0.847 0.617 0.653



A plane-wave DFT calculation with PBE was carried out for crystalline CsK2PtPb at its relaxed geometry.

Calculated values
Its crystal system is tetragonal. For the energy above the most stable polymorph in this dataset, the calculation gives 0.000 eV/atom. The space group is No. 123. For the spin magnetization, the calculation gives 0.0 μB/f.u. The calculation puts the density of states at the Fermi level at 0.539 states/eV/atom. The volume is 216.9 Å³ per cell.

Cell lengths 6.383, 6.383, 5.324 Å; angles 90.00, 90.00, 90.00 degrees
Fractional positions:
Pb1 0.000 0.000 0.500
K1 0.000 0.500 0.000
K2 0.500 0.000 0.000
Pt1 0.000 0.000 0.000
Cs1 0.500 0.500 0.500



A plane-wave DFT calculation with PBE was carried out for crystalline MnGaCoSe2 at its relaxed geometry.

Calculated values
Its crystal system is orthorhombic. Its formation energy (no corrections) is -0.1609 eV/atom. For the energy above the most stable polymorph in this dataset, the calculation gives 0.040 eV/atom. The space group is No. 38. For the spin magnetization, the calculation gives 3.0 μB/f.u. The calculation puts the density of states at the Fermi level at 0.565 states/eV/atom. The volume is 181.7 Å³ per cell.

Cell lengths 3.668, 4.645, 10.665 Å; angles 90.00, 90.00, 90.00 degrees
Last column: magnetic moment on the atom in μB.
Fractional positions:
Mn1 0.500 0.000 0.019  3.43
Mn2 0.500 0.500 0.519  3.43
Ga1 0.500 0.000 0.767  -0.03
Ga2 0.500 0.500 0.267  -0.03
Se1 0.500 0.000 0.457  -0.06
Se2 0.000 0.500 0.679  -0.01
Se3 0.500 0.500 0.957  -0.06
Se4 0.000 0.000 0.179  -0.01
Co1 0.000 0.500 0.105  -0.55
Co2 0.000 0.000 0.605  -0.55



A plane-wave DFT calculation with PBE was carried out for crystalline NaNpBeF6 at its relaxed geometry.

Calculated values
Its crystal system is trigonal. Its formation energy (no corrections) is -3.0591 eV/atom. The space group is No. 163. For the spin magnetization, the calculation gives 4.0 μB/f.u. The calculation puts the density of states at the Fermi level at 0.396 states/eV/atom. The volume is 237.5 Å³ per cell.

Cell lengths 5.564, 5.564, 8.860 Å; angles 90.00, 90.00, 120.00 degrees
Last column: magnetic moment on the atom in μB.
Fractional positions:
F1 0.070 0.398 0.636  -0.01
F2 0.672 0.602 0.136  -0.01
F3 0.602 0.930 0.864  -0.01
F4 0.672 0.070 0.364  -0.01
F5 0.070 0.672 0.864  -0.01
F6 0.602 0.672 0.636  -0.01
F7 0.328 0.398 0.864  -0.01
F8 0.398 0.070 0.136  -0.01
F9 0.398 0.328 0.364  -0.01
F10 0.930 0.602 0.364  -0.01
F11 0.328 0.930 0.636  -0.01
F12 0.930 0.328 0.136  -0.01
Na1 0.000 0.000 0.000  0.00
Na2 0.000 0.000 0.500  0.00
Np1 0.667 0.333 0.750  3.97
Np2 0.333 0.667 0.250  3.97
Be1 0.667 0.333 0.250  0.00
Be2 0.333 0.667 0.750  0.00



A plane-wave DFT calculation with PBE was carried out for crystalline LuCuRh at its relaxed geometry.

Calculated values
Its crystal system is hexagonal. For the energy above the most stable polymorph in this dataset, the calculation gives 0.000 eV/atom. The space group is No. 187. For the spin magnetization, the calculation gives 0.0 μB/f.u. The calculation puts the density of states at the Fermi level at 0.577 states/eV/atom. The volume is 53.1 Å³ per cell.

Cell lengths 3.298, 4.313, 4.313 Å; angles 120.00, 90.00, 90.00 degrees
Fractional positions:
Lu1 0.667 0.667 0.333
Rh1 0.166 0.333 0.667
Cu1 0.167 0.000 0.000



A plane-wave DFT calculation with PBE was carried out for crystalline Hf2Al2W at its relaxed geometry.

Calculated values
The total energy comes out at -8.27 eV per atom. Its crystal system is tetragonal. The space group is No. 127. For the spin magnetization, the calculation gives 0.0 μB/f.u. The calculation puts the density of states at the Fermi level at 0.660 states/eV/atom. The volume is 181.7 Å³ per cell.

Cell lengths 6.979, 6.979, 3.731 Å; angles 90.00, 90.00, 90.00 degrees
Fractional positions:
W1 0.000 0.000 0.000
W2 0.500 0.500 0.000
Hf1 0.676 0.824 0.500
Hf2 0.324 0.176 0.500
Hf3 0.176 0.676 0.500
Hf4 0.824 0.324 0.500
Al1 0.872 0.628 0.000
Al2 0.372 0.872 0.000
Al3 0.128 0.372 0.000
Al4 0.628 0.128 0.000



A plane-wave DFT calculation with PBE was carried out for crystalline TiBeCd3 at its relaxed geometry.

Calculated values
Its crystal system is cubic. For the energy above the most stable polymorph in this dataset, the calculation gives 0.791 eV/atom. The space group is No. 221. For the spin magnetization, the calculation gives 3.0 μB/f.u. The calculation puts the density of states at the Fermi level at 1.335 states/eV/atom. The volume is 159.1 Å³ per cell.

Cell lengths 5.418, 5.418, 5.418 Å; angles 90.00, 90.00, 90.00 degrees
Last column: magnetic moment on the atom in μB.
Fractional positions:
Cd1 0.500 0.000 0.000  0.10
Cd2 0.000 0.500 0.000  0.07
Cd3 0.000 0.000 0.500  0.04
Ti1 0.000 0.000 0.000  1.76
Be1 0.500 0.500 0.500  0.02



A plane-wave DFT calculation with PBE was carried out for crystalline AcGaAu3 at its relaxed geometry.

Calculated values
Its crystal system is cubic. For the energy above the most stable polymorph in this dataset, the calculation gives 0.165 eV/atom. The space group is No. 221. For the spin magnetization, the calculation gives 0.0 μB/f.u. The calculation puts the density of states at the Fermi level at 0.247 states/eV/atom. The volume is 123.8 Å³ per cell.

Cell lengths 4.984, 4.984, 4.984 Å; angles 90.00, 90.00, 90.00 degrees
Fractional positions:
Au1 0.000 0.500 0.000
Au2 0.500 0.000 0.000
Au3 0.000 0.000 0.500
Ac1 0.500 0.500 0.500
Ga1 0.000 0.000 0.000



A plane-wave DFT calculation with PBE was carried out for crystalline Al2SnHg at its relaxed geometry.

Calculated values
Its crystal system is tetragonal. For the energy above the most stable polymorph in this dataset, the calculation gives 0.056 eV/atom. The space group is No. 122. For the spin magnetization, the calculation gives 0.0 μB/f.u. The calculation puts the density of states at the Fermi level at 0.551 states/eV/atom. The volume is 182.5 Å³ per cell.

Cell lengths 7.800, 7.800, 6.278 Å; angles 51.59, 51.59, 90.00 degrees
Fractional positions:
Al1 0.875 0.880 0.750
Al2 0.630 0.125 0.250
Al3 0.375 0.370 0.750
Al4 0.120 0.625 0.250
Hg1 0.000 0.000 0.000
Hg2 0.750 0.250 0.500
Sn1 0.250 0.750 0.500
Sn2 0.500 0.500 0.000



A plane-wave DFT calculation with PBE was carried out for crystalline CaTlTe2SeF at its relaxed geometry.

Calculated values
Its crystal system is triclinic. Its formation energy (no corrections) is -1.2782 eV/atom. For the energy above the most stable polymorph in this dataset, the calculation gives 0.000 eV/atom. The space group is No. 1. For the spin magnetization, the calculation gives 0.0 μB/f.u. The volume is 182.2 Å³ per cell.

Cell lengths 4.180, 5.825, 7.575 Å; angles 81.14, 89.81, 89.81 degrees
Fractional positions:
Se1 0.988 0.592 0.805
F1 0.493 0.098 0.928
Ca1 0.993 0.081 0.846
Te1 0.488 0.785 0.558
Te2 0.989 0.014 0.307
Tl1 0.488 0.536 0.160



A plane-wave DFT calculation with PBE was carried out for crystalline YScCuIr at its relaxed geometry.

Calculated values
The total energy comes out at -7.03 eV per atom. Its crystal system is cubic. The space group is No. 216. For the spin magnetization, the calculation gives 0.0 μB/f.u. The calculation puts the density of states at the Fermi level at 0.935 states/eV/atom. The volume is 75.7 Å³ per cell.

Cell lengths 4.748, 4.748, 4.748 Å; angles 60.00, 60.00, 60.00 degrees
Fractional positions:
Y1 0.750 0.750 0.750
Cu1 0.000 0.000 0.000
Ir1 0.500 0.500 0.500
Sc1 0.250 0.250 0.250



A plane-wave DFT calculation with PBE was carried out for crystalline Rb2BaNaSe at its relaxed geometry.

Calculated values
Its crystal system is tetragonal. Its formation energy (no corrections) is -0.6213 eV/atom. The space group is No. 123. For the spin magnetization, the calculation gives 0.0 μB/f.u. The calculation puts the density of states at the Fermi level at 0.551 states/eV/atom. The volume is 293.7 Å³ per cell.

Cell lengths 6.807, 6.807, 6.340 Å; angles 90.00, 90.00, 90.00 degrees
Fractional positions:
Rb1 0.500 0.000 0.000
Rb2 0.000 0.500 0.000
Na1 0.500 0.500 0.500
Ba1 0.000 0.000 0.500
Se1 0.000 0.000 0.000



A plane-wave DFT calculation with PBE was carried out for crystalline HoTmZnCo at its relaxed geometry.

Calculated values
Its crystal system is cubic. For the energy above the most stable polymorph in this dataset, the calculation gives 0.032 eV/atom. The space group is No. 216. For the spin magnetization, the calculation gives 0.0 μB/f.u. The calculation puts the density of states at the Fermi level at 0.739 states/eV/atom. The volume is 79.3 Å³ per cell.

Cell lengths 4.822, 4.822, 4.822 Å; angles 60.00, 60.00, 60.00 degrees
Fractional positions:
Zn1 0.750 0.750 0.750
Ho1 0.000 0.000 0.000
Co1 0.250 0.250 0.250
Tm1 0.500 0.500 0.500



A plane-wave DFT calculation with PBE was carried out for crystalline CrRe2Te at its relaxed geometry.

Calculated values
Its crystal system is monoclinic. Its formation energy (no corrections) is 0.6274 eV/atom. The space group is No. 8. For the spin magnetization, the calculation gives 1.3 μB/f.u. The calculation puts the density of states at the Fermi level at 1.017 states/eV/atom. The volume is 65.1 Å³ per cell.

Cell lengths 4.844, 4.844, 4.693 Å; angles 81.57, 81.57, 36.73 degrees
Last column: magnetic moment on the atom in μB.
Fractional positions:
Re1 0.738 0.738 0.803  -0.13
Re2 0.999 0.999 0.990  -0.09
Te1 0.502 0.502 0.479  -0.02
Cr1 0.261 0.261 0.228  1.47



A plane-wave DFT calculation with PBE was carried out for crystalline Mg2P2Pt at its relaxed geometry.

Calculated values
Its crystal system is tetragonal. For the energy above the most stable polymorph in this dataset, the calculation gives 0.393 eV/atom. The space group is No. 127. For the spin magnetization, the calculation gives 0.0 μB/f.u. The calculation puts the density of states at the Fermi level at 0.488 states/eV/atom. The volume is 167.5 Å³ per cell.

Cell lengths 7.454, 7.454, 3.015 Å; angles 90.00, 90.00, 90.00 degrees
Fractional positions:
P1 0.829 0.329 0.500
P2 0.171 0.671 0.500
P3 0.671 0.829 0.500
P4 0.329 0.171 0.500
Mg1 0.137 0.363 0.000
Mg2 0.363 0.863 0.000
Mg3 0.637 0.137 0.000
Mg4 0.863 0.637 0.000
Pt1 0.500 0.500 0.000
Pt2 0.000 0.000 0.000



A plane-wave DFT calculation with PBE was carried out for crystalline PuAg2RhO6 at its relaxed geometry.

Calculated values
Its crystal system is monoclinic. Its formation energy (no corrections) is -1.1859 eV/atom. The space group is No. 14. For the spin magnetization, the calculation gives 1.0 μB/f.u. The calculation puts the density of states at the Fermi level at 0.318 states/eV/atom. The volume is 253.2 Å³ per cell.

Cell lengths 5.599, 5.647, 8.008 Å; angles 90.00, 89.77, 90.00 degrees
Last column: magnetic moment on the atom in μB.
Fractional positions:
Ag1 0.000 0.985 0.251  -0.07
Ag2 0.500 0.485 0.249  -0.07
Ag3 0.500 0.515 0.751  -0.07
Ag4 0.000 0.015 0.749  -0.07
O1 0.075 0.477 0.745  -0.13
O2 0.702 0.304 0.537  -0.13
O3 0.298 0.696 0.463  -0.13
O4 0.202 0.196 0.037  -0.13
O5 0.798 0.804 0.963  -0.13
O6 0.425 0.977 0.755  -0.13
O7 0.304 0.705 0.039  -0.13
O8 0.196 0.205 0.461  -0.13
O9 0.575 0.023 0.245  -0.13
O10 0.925 0.523 0.255  -0.13
O11 0.804 0.795 0.539  -0.13
O12 0.696 0.295 0.961  -0.13
Rh1 0.500 0.000 0.000  -0.35
Rh2 0.000 0.500 0.500  -0.35
Pu1 0.000 0.500 0.000  2.36
Pu2 0.500 0.000 0.500  2.36



A plane-wave DFT calculation with PBE was carried out for crystalline TlCd2Au6 at its relaxed geometry.

Calculated values
The total energy comes out at -2.69 eV per atom. Its crystal system is monoclinic. The space group is No. 15. For the spin magnetization, the calculation gives 0.0 μB/f.u. The calculation puts the density of states at the Fermi level at 0.336 states/eV/atom. The volume is 373.0 Å³ per cell.

Cell lengths 4.348, 10.390, 10.390 Å; angles 53.01, 84.88, 84.88 degrees
Fractional positions:
Tl1 0.250 0.148 0.852
Tl2 0.750 0.852 0.148
Au1 0.708 0.228 0.004
Au2 0.913 0.460 0.665
Au3 0.208 0.004 0.228
Au4 0.130 0.336 0.119
Au5 0.587 0.335 0.540
Au6 0.792 0.996 0.772
Au7 0.870 0.664 0.881
Au8 0.292 0.772 0.996
Au9 0.413 0.665 0.460
Au10 0.630 0.119 0.336
Au11 0.087 0.540 0.335
Au12 0.370 0.881 0.664
Cd1 0.608 0.467 0.198
Cd2 0.392 0.533 0.802
Cd3 0.892 0.802 0.533
Cd4 0.108 0.198 0.467



A plane-wave DFT calculation with PBE was carried out for crystalline Y8Ge5Sb at its relaxed geometry.

Calculated values
Its crystal system is tetragonal. Its formation energy (no corrections) is -0.9093 eV/atom. The space group is No. 82. For the spin magnetization, the calculation gives 0.0 μB/f.u. The calculation puts the density of states at the Fermi level at 0.564 states/eV/atom. The volume is 355.6 Å³ per cell.

Cell lengths 7.730, 7.730, 7.730 Å; angles 109.21, 109.99, 109.21 degrees
Fractional positions:
Ge1 0.874 0.879 0.252
Ge2 0.500 0.000 0.500
Ge3 0.373 0.121 0.996
Ge4 0.748 0.622 0.627
Ge5 0.004 0.378 0.126
Y1 0.119 0.757 0.015
Y2 0.258 0.243 0.362
Y3 0.498 0.622 0.250
Y4 0.628 0.378 0.876
Y5 0.124 0.752 0.502
Y6 0.985 0.104 0.742
Y7 0.638 0.896 0.881
Y8 0.750 0.248 0.372
Sb1 0.250 0.500 0.750



A plane-wave DFT calculation with PBE was carried out for crystalline K4Np3BiTe8 at its relaxed geometry.

Calculated values
Its crystal system is trigonal. Its formation energy (no corrections) is -0.8176 eV/atom. The space group is No. 166. For the spin magnetization, the calculation gives 12.0 μB/f.u. The calculation puts the density of states at the Fermi level at 1.499 states/eV/atom. The volume is 600.0 Å³ per cell.

Cell lengths 9.185, 9.777, 9.184 Å; angles 118.02, 120.00, 90.00 degrees
Last column: magnetic moment on the atom in μB.
Fractional positions:
Bi1 0.000 0.500 0.000  0.05
Te1 0.239 0.711 0.972  -0.05
Te2 0.761 0.289 0.523  -0.05
Te3 0.736 0.709 0.472  -0.07
Te4 0.761 0.289 0.028  -0.05
Te5 0.734 0.711 0.972  -0.05
Te6 0.239 0.711 0.477  -0.05
Te7 0.266 0.289 0.028  -0.05
Te8 0.264 0.291 0.528  -0.07
K1 0.000 0.000 0.000  0.00
K2 0.000 0.000 0.500  0.00
K3 0.500 0.000 0.500  0.00
K4 0.500 0.000 0.000  0.00
Np1 0.000 0.500 0.500  4.01
Np2 0.500 0.500 0.500  4.01
Np3 0.500 0.500 0.000  4.01



A plane-wave DFT calculation with PBE was carried out for crystalline CuAsP2 at its relaxed geometry.

Calculated values
The total energy comes out at -4.42 eV per atom. Its crystal system is orthorhombic. The space group is No. 35. For the spin magnetization, the calculation gives 0.0 μB/f.u. The calculation puts the density of states at the Fermi level at 0.553 states/eV/atom. The volume is 66.5 Å³ per cell.

Cell lengths 2.958, 2.958, 8.554 Å; angles 90.00, 90.00, 117.35 degrees
Fractional positions:
As1 0.000 0.000 0.535
Cu1 0.500 0.500 0.768
P1 0.000 0.000 0.004
P2 0.500 0.500 0.193